Below is a relaxed structure of CaOs2N, with properties calculated at the GGA-PBE level.

The space group is I4_1/amd (No. 141, origin choice 2) and the conventional cell measures 4.943, 4.943 and 12.765 Å, with angles of 90.00, 90.00 and 90.00 degrees. The asymmetric unit holds Ca at (0.000, 0.250, 0.375), Os at (0.000, 0.000, 0.000) and N at (0.000, 0.250, 0.875).

Its calculated volume is 312 Å³/cell. The raw formation energy comes out at 0.60 eV/atom. The crystal system is tetragonal.

=====

Below is a relaxed structure of Ca3Pa3OsN8, with properties calculated at the GGA-PBE level.

The space group is R-3m (No. 166, hexagonal axes) and the conventional cell measures 6.8549, 6.8549 and 16.9937 Å, with angles of 90.00, 90.00 and 120.00 degrees. The asymmetric unit holds Ca at (0.0000, 0.5000, 0.0000), Pa at (0.0000, 0.5000, 0.5000), Os at (0.0000, 0.0000, 0.5000), N at (0.0000, 0.0000, 0.2425) and N at (0.0089, 0.5045, 0.2330).

Its calculated volume is 692 Å³/cell. The raw formation energy comes out at -1.10 eV/atom. The crystal system is trigonal.